Here is a relaxed Ac3Tl4In2 crystal from Alexandria via LeMat-Bulk. Energies are from PBE.

Computed properties:
**Total magnetic moment**: 0.00 μB/cell
**Symmetry**: C2/m, No. 12
**Fermi-level density of states**: 5.3 states/eV/cell
**Energy**: -30.4 eV per cell
**ρ**: 9.8 g cm⁻³
**Energy relative to the elements**: -3.1 eV per formula unit

Cell: 5.1579 6.6966 9.8694 Å, 109.33 90.00 112.65°
Element x y z (fractional)
Ac 0.6472 0.2945 0.6820
Ac 0.0000 0.0000 0.0000
Ac 0.3528 0.7055 0.3180
In 0.6714 0.3427 0.3399
In 0.3286 0.6573 0.6601
Tl 0.3089 0.6178 0.9610
Tl 0.0509 0.1018 0.3731
Tl 0.6911 0.3822 0.0390
Tl 0.9491 0.8982 0.6269

Here is a relaxed KTbS2O6 crystal from Alexandria via LeMat-Bulk. Energies are from PBE.

Computed properties:
**Formation energy without anion corrections**: -2017 meV per atom
**Total magnetic moment**: 0.00 μB/cell
**Symmetry**: R-3, No. 148
**Fermi-level density of states**: 0.0 states/eV/cell
**Energy**: -63.9 eV per cell
**ρ**: 3.5 g cm⁻³

Cell: 5.3538 5.3538 7.4400 Å, 68.91 68.91 60.00°
Element x y z (fractional)
O 0.4733 0.2791 0.2992
O 0.7209 0.0516 0.7008
O 0.5267 0.7209 0.7008
O 0.2791 0.9484 0.2992
O 0.9484 0.4733 0.2992
O 0.0516 0.5267 0.7008
Tb 0.5000 0.5000 0.5000
S 0.2632 0.2632 0.2104
S 0.7368 0.7368 0.7896
K 0.0000 0.0000 0.0000

Here is a relaxed Be3P2H4O10 crystal from Alexandria via LeMat-Bulk. Energies are from PBE.

Computed properties:
**Total magnetic moment**: 0.00 μB/cell
**Symmetry**: C2/c, No. 15
**Fermi-level density of states**: 0.0 states/eV/cell
**Energy**: -248.4 eV per cell
**ρ**: 2.3 g cm⁻³

Cell: 8.4239 8.4239 9.6364 Å, 85.26 85.26 31.90°
Element x y z (fractional)
O 0.5373 0.8166 0.1087
O 0.2516 0.0844 0.4561
O 0.9156 0.7484 0.0439
O 0.7484 0.9156 0.5439
O 0.9046 0.6599 0.8002
O 0.3622 0.5465 0.1448
O 0.9565 0.9097 0.8330
O 0.6599 0.9046 0.3002
O 0.1834 0.4627 0.3913
O 0.0954 0.3401 0.1998
O 0.0844 0.2516 0.9561
O 0.6378 0.4535 0.8552
O 0.9097 0.9565 0.3330
O 0.8166 0.5373 0.6087
O 0.5465 0.3622 0.6448
O 0.0435 0.0903 0.1670
O 0.4535 0.6378 0.3552
O 0.3401 0.0954 0.6998
O 0.0903 0.0435 0.6670
O 0.4627 0.1834 0.8913
H 0.7717 0.4110 0.9042
H 0.3427 0.5287 0.6854
H 0.5890 0.2283 0.5958
H 0.4110 0.7717 0.4042
H 0.2283 0.5890 0.0958
H 0.4713 0.6573 0.8146
H 0.6573 0.4713 0.3146
H 0.5287 0.3427 0.1854
Be 0.2051 0.2909 0.8422
Be 0.7091 0.7949 0.6578
Be 0.7949 0.7091 0.1578
Be 0.1829 0.8171 0.2500
Be 0.8171 0.1829 0.7500
Be 0.2909 0.2051 0.3422
P 0.1945 0.1166 0.1055
P 0.8055 0.8834 0.8945
P 0.1166 0.1945 0.6055
P 0.8834 0.8055 0.3945